The following is a PBEsol calculation of an optimized crystal structure of Y3Sc, from Alexandria via LeMat-Bulk. Values from VASP.

## Properties
The calculation puts the energy above the most stable polymorph in this dataset at 11 meV per atom. The formation energy comes out at 0.029 eV per atom. Its size of the total moment is 0.00 μB/f.u. The calculation puts the uncorrected energy at -27.0 eV per formula unit.

Cell and atoms, written as Quantum ESPRESSO input:
```
&SYSTEM
  ibrav = 0, nat = 4, ntyp = 2
/
ATOMIC_SPECIES
Y 88.91 Y.upf
Sc 44.96 Sc.upf
CELL_PARAMETERS angstrom
3.511 0.000 0.000
-1.756 3.041 0.000
0.000 0.000 10.872
ATOMIC_POSITIONS crystal
Y 0.000 0.000 0.000
Y 0.667 0.333 0.260
Y 0.667 0.333 0.740
Sc 0.000 0.000 0.500
```

The following is a PBEsol calculation of an optimized crystal structure of Y5Sc4, from Alexandria via LeMat-Bulk. Values from VASP.

## Properties
The calculation puts the energy above the most stable polymorph in this dataset at 4 meV per atom. The formation energy comes out at 0.061 eV per atom. Its size of the total moment is 0.00 μB/f.u. The calculation puts the uncorrected energy at -60.0 eV per formula unit.

Cell and atoms, written as Quantum ESPRESSO input:
```
&SYSTEM
  ibrav = 0, nat = 18, ntyp = 2
/
ATOMIC_SPECIES
Y 88.91 Y.upf
Sc 44.96 Sc.upf
CELL_PARAMETERS angstrom
9.234 0.000 0.000
-4.617 7.997 0.000
0.000 0.000 6.657
ATOMIC_POSITIONS crystal
Y 0.000 0.301 0.250
Y 0.000 0.699 0.750
Y 0.301 0.000 0.250
Y 0.301 0.301 0.750
Y 0.333 0.667 0.000
Y 0.333 0.667 0.500
Y 0.667 0.333 0.000
Y 0.667 0.333 0.500
Y 0.699 0.000 0.750
Y 0.699 0.699 0.250
Sc 0.000 0.000 0.000
Sc 0.000 0.000 0.500
Sc 0.000 0.356 0.750
Sc 0.000 0.644 0.250
Sc 0.356 0.000 0.750
Sc 0.356 0.356 0.250
Sc 0.644 0.000 0.250
Sc 0.644 0.644 0.750
```